# 1
Compound: NaTl6Sb
Source: Alexandria
Functional: PBE
Structure: optimized geometry

Lattice parameters (Å, degrees): 7.4288 11.5410 5.6091 90.00 90.00 90.00
Space group Cmmm (No. 65)
One atom of each set of equivalent atoms:
1 Na 0.0000 0.0000 0.0000 [2 per cell]
2 Tl 0.0000 0.2463 0.5000 [4 per cell]
3 Tl 0.2378 0.5000 0.5000 [4 per cell]
4 Tl 0.2500 0.2500 0.0000 [4 per cell]
5 Sb 0.0000 0.5000 0.0000 [2 per cell]

---

# 2
Compound: Na2TlSb
Source: Alexandria
Functional: PBE
Structure: optimized geometry

Lattice parameters (Å, degrees): 3.5120 3.5120 31.6137 90.00 90.00 120.00
Space group R3m (No. 160, hexagonal axes)
One atom of each set of equivalent atoms:
1 Na 0.0000 0.0000 0.0000 [3 per cell]
2 Na 0.0000 0.0000 0.1735 [3 per cell]
3 Tl 0.0000 0.0000 0.4203 [3 per cell]
4 Sb 0.0000 0.0000 0.5866 [3 per cell]

---

# 3
Compound: Na2TlSb3
Source: Alexandria
Functional: PBE
Structure: optimized geometry

Lattice parameters (Å, degrees): 6.5725 11.6529 9.6655 90.00 95.56 90.00
Space group C2/c (No. 15)
One atom of each set of equivalent atoms:
1 Na 0.1594 0.1226 0.0884 [8 per cell]
2 Tl 0.0000 0.4130 0.2500 [4 per cell]
3 Sb 0.0000 0.1618 0.7500 [4 per cell]
4 Sb 0.1625 0.3416 0.5782 [8 per cell]

---

# 4
Compound: Na16Tl12Sb
Source: Alexandria
Functional: PBE
Structure: optimized geometry

Lattice parameters (Å, degrees): 12.0247 16.6986 10.2931 90.00 123.48 90.00
Space group Cm (No. 8)
One atom of each set of equivalent atoms:
1 Na 0.0000 0.0000 0.0000 [2 per cell]
2 Na 0.0102 0.3119 0.3020 [4 per cell]
3 Na 0.0431 0.3781 0.0108 [4 per cell]
4 Na 0.1971 0.2064 0.6742 [4 per cell]
5 Na 0.2891 0.0000 0.7002 [2 per cell]
6 Na 0.3241 0.3209 0.0078 [4 per cell]
7 Na 0.3400 0.3451 0.4071 [4 per cell]
8 Na 0.3435 0.0000 0.3005 [2 per cell]
9 Na 0.4167 0.1475 0.5650 [4 per cell]
10 Na 0.4856 0.5000 0.6468 [2 per cell]
11 Tl 0.0885 0.0980 0.3674 [4 per cell]
12 Tl 0.1029 0.5000 0.7986 [2 per cell]
13 Tl 0.1756 0.1968 0.1749 [4 per cell]
14 Tl 0.2279 0.4003 0.6461 [4 per cell]
15 Tl 0.2593 0.0974 0.9716 [4 per cell]
16 Tl 0.3095 0.5000 0.1752 [2 per cell]
17 Tl 0.4949 0.2929 0.7990 [4 per cell]
18 Sb 0.1375 0.5000 0.3370 [2 per cell]

---

# 5
Compound: Na2Tl2Sb3
Source: Alexandria
Functional: PBE
Structure: optimized geometry

Lattice parameters (Å, degrees): 13.9031 4.6109 8.0269 90.00 117.72 90.00
Space group C2/m (No. 12)
One atom of each set of equivalent atoms:
1 Na 0.1729 0.0000 0.2507 [4 per cell]
2 Tl 0.1125 0.0000 0.7875 [4 per cell]
3 Sb 0.0000 0.5000 0.0000 [2 per cell]
4 Sb 0.0786 0.5000 0.4308 [4 per cell]

---

# 6
Compound: NaTl6Sb8
Source: Alexandria
Functional: PBE
Structure: optimized geometry

Lattice parameters (Å, degrees): 9.7933 9.7933 18.2354 90.00 90.00 120.00
Space group R-3 (No. 148, hexagonal axes)
One atom of each set of equivalent atoms:
1 Na 0.0000 0.0000 0.0000 [3 per cell]
2 Tl 0.0006 0.7694 0.5800 [18 per cell]
3 Sb 0.0000 0.0000 0.1863 [6 per cell]
4 Sb 0.0159 0.5783 0.4285 [18 per cell]

---

# 7
Compound: Na2Tl5Sb2
Source: Alexandria
Functional: PBE
Structure: optimized geometry

Lattice parameters (Å, degrees): 5.7767 7.3054 7.7617 102.10 93.74 112.89
Space group P-1 (No. 2)
One atom of each set of equivalent atoms:
1 Na 0.1775 0.4172 0.3533 [2 per cell]
2 Tl 0.1604 0.8093 0.0694 [2 per cell]
3 Tl 0.2856 0.1183 0.6187 [2 per cell]
4 Tl 0.5000 0.5000 0.0000 [1 per cell]
5 Sb 0.4200 0.7724 0.7103 [2 per cell]

---

# 8
Compound: NaTl2Sb4
Source: Alexandria
Functional: PBE
Structure: optimized geometry

Lattice parameters (Å, degrees): 9.0742 10.9893 6.3850 90.00 133.08 90.00
Space group C2 (No. 5)
One atom of each set of equivalent atoms:
1 Na 0.0000 0.0000 0.0000 [2 per cell]
2 Tl 0.0000 0.4760 0.5000 [2 per cell]
3 Tl 0.0000 0.4771 0.0000 [2 per cell]
4 Sb 0.1987 0.7367 0.4472 [4 per cell]
5 Sb 0.2329 0.7339 0.9818 [4 per cell]

---

# 9
Compound: Na8TlSb2
Source: Alexandria
Functional: PBE
Structure: optimized geometry

Lattice parameters (Å, degrees): 5.2032 9.1086 13.6928 90.00 90.00 90.00
Space group Immm (No. 71)
One atom of each set of equivalent atoms:
1 Na 0.0000 0.0000 0.1480 [4 per cell]
2 Na 0.0000 0.2080 0.3394 [8 per cell]
3 Na 0.0000 0.3190 0.0000 [4 per cell]
4 Tl 0.0000 0.5000 0.5000 [2 per cell]
5 Sb 0.0000 0.5000 0.2058 [4 per cell]

---

# 10
Compound: Na6Tl12Sb
Source: Alexandria
Functional: PBE
Structure: optimized geometry

Lattice parameters (Å, degrees): 11.6567 11.6567 14.4175 90.00 90.00 120.00
Space group R-3 (No. 148, hexagonal axes)
One atom of each set of equivalent atoms:
1 Na 0.0316 0.5918 0.2112 [18 per cell]
2 Tl 0.0437 0.8604 0.3032 [18 per cell]
3 Tl 0.0658 0.2077 0.9116 [18 per cell]
4 Sb 0.0000 0.0000 0.5000 [3 per cell]

---

# 11
Compound: NaTl3Sb3
Source: Alexandria
Functional: PBE
Structure: optimized geometry

Lattice parameters (Å, degrees): 8.3778 8.3778 8.3778 90.00 90.00 90.00
Space group Pm-3n (No. 223)
One atom of each set of equivalent atoms:
1 Na 0.0000 0.0000 0.0000 [2 per cell]
2 Tl 0.0000 0.2500 0.5000 [6 per cell]
3 Sb 0.0000 0.5000 0.2500 [6 per cell]

---

# 12
Compound: Na6Tl8Sb
Source: Alexandria
Functional: PBE
Structure: optimized geometry

Lattice parameters (Å, degrees): 8.7012 8.7012 20.6680 90.00 90.00 120.00
Space group R-3 (No. 148, hexagonal axes)
One atom of each set of equivalent atoms:
1 Na 0.0528 0.4448 0.3893 [18 per cell]
2 Tl 0.0000 0.0000 0.1545 [6 per cell]
3 Tl 0.0213 0.2371 0.5632 [18 per cell]
4 Sb 0.0000 0.0000 0.0000 [3 per cell]

---

# 13
Compound: Na2TlSb
Source: Alexandria
Functional: PBE
Structure: optimized geometry

Lattice parameters (Å, degrees): 7.6094 7.6094 7.6094 90.00 90.00 90.00
Space group Fm-3m (No. 225)
One atom of each set of equivalent atoms:
1 Na 0.2500 0.2500 0.2500 [8 per cell]
2 Tl 0.0000 0.0000 0.0000 [4 per cell]
3 Sb 0.0000 0.0000 0.5000 [4 per cell]

---

# 14
Compound: NaTl2Sb3
Source: Alexandria
Functional: PBE
Structure: optimized geometry

Lattice parameters (Å, degrees): 14.2326 9.1472 6.1613 90.00 90.00 90.00
Space group Cmcm (No. 63)
One atom of each set of equivalent atoms:
1 Na 0.0000 0.1761 0.2500 [4 per cell]
2 Tl 0.1607 0.3134 0.7500 [8 per cell]
3 Sb 0.0000 0.5000 0.0000 [4 per cell]
4 Sb 0.1769 0.0000 0.0000 [8 per cell]

---

# 15
Compound: NaTl4Sb2
Source: Alexandria
Functional: PBE
Structure: optimized geometry

Lattice parameters (Å, degrees): 6.4849 12.5644 5.7062 90.00 101.63 90.00
Space group P2_1/c (No. 14)
One atom of each set of equivalent atoms:
1 Na 0.0000 0.0000 0.0000 [2 per cell]
2 Tl 0.0054 0.2019 0.5014 [4 per cell]
3 Tl 0.4955 0.6669 0.5050 [4 per cell]
4 Sb 0.2966 0.5017 0.0655 [4 per cell]

---

# 16
Compound: Na4TlSb4
Source: Alexandria
Functional: PBE
Structure: optimized geometry

Lattice parameters (Å, degrees): 9.6938 9.6938 6.4119 90.00 90.00 90.00
Space group P4_2/n (No. 86, origin choice 2)
One atom of each set of equivalent atoms:
1 Na 0.0558 0.6613 0.1062 [8 per cell]
2 Tl 0.2500 0.2500 0.2500 [2 per cell]
3 Sb 0.0151 0.6288 0.6014 [8 per cell]

---

# 17
Compound: NaTl3Sb3
Source: Alexandria
Functional: PBE
Structure: optimized geometry

Lattice parameters (Å, degrees): 9.8067 9.8067 17.1179 90.00 90.00 120.00
Space group R-3 (No. 148, hexagonal axes)
One atom of each set of equivalent atoms:
1 Na 0.0000 0.0000 0.1162 [6 per cell]
2 Tl 0.0599 0.2270 0.7158 [18 per cell]
3 Sb 0.0212 0.2783 0.5370 [18 per cell]

---

# 18
Compound: Na2Tl6Sb
Source: Alexandria
Functional: PBE
Structure: optimized geometry

Lattice parameters (Å, degrees): 12.7774 11.9061 8.6869 90.00 124.57 90.00
Space group C2/c (No. 15)
One atom of each set of equivalent atoms:
1 Na 0.2029 0.0987 0.4414 [8 per cell]
2 Tl 0.0212 0.1299 0.9591 [8 per cell]
3 Tl 0.0984 0.4156 0.6804 [8 per cell]
4 Tl 0.2165 0.3359 0.1297 [8 per cell]
5 Sb 0.0000 0.3004 0.2500 [4 per cell]

---

# 19
Compound: Na2Tl8Sb
Source: Alexandria
Functional: PBE
Structure: optimized geometry

Lattice parameters (Å, degrees): 13.2076 10.3677 5.6835 90.00 106.98 90.00
Space group C2/m (No. 12)
One atom of each set of equivalent atoms:
1 Na 0.1361 0.0000 0.0477 [4 per cell]
2 Tl 0.0776 0.2648 0.3001 [8 per cell]
3 Tl 0.0952 0.5000 0.7842 [4 per cell]
4 Tl 0.2435 0.5000 0.3723 [4 per cell]
5 Sb 0.0000 0.0000 0.5000 [2 per cell]

---

# 20
Compound: NaTl6Sb2
Source: Alexandria
Functional: PBE
Structure: optimized geometry

Lattice parameters (Å, degrees): 16.0782 3.5053 11.9213 90.00 122.91 90.00
Space group C2/m (No. 12)
One atom of each set of equivalent atoms:
1 Na 0.0000 0.0000 0.0000 [2 per cell]
2 Tl 0.0385 0.0000 0.7317 [4 per cell]
3 Tl 0.1431 0.5000 0.5460 [4 per cell]
4 Tl 0.2365 0.0000 0.1133 [4 per cell]
5 Sb 0.1454 0.5000 0.2690 [4 per cell]

---

Number 1: calculated total energy -2.497 eV per atom. Number 2: calculated total energy -2.431 eV per atom. Number 3: calculated total energy -3.072 eV per atom. Number 4: calculated total energy -1.959 eV per atom. Number 5: calculated total energy -2.967 eV per atom. Number 6: calculated total energy -3.238 eV per atom. Number 7: calculated total energy -2.629 eV per atom. Number 8: calculated total energy -3.239 eV per atom. Number 9: calculated total energy -2.218 eV per atom. Number 10: calculated total energy -2.216 eV per atom. Number 11: calculated total energy -2.792 eV per atom. Number 12: calculated total energy -2.159 eV per atom. Number 13: calculated total energy -2.599 eV per atom. Number 14: calculated total energy -3.048 eV per atom. Number 15: calculated total energy -2.772 eV per atom. Number 16: calculated total energy -2.869 eV per atom. Number 17: calculated total energy -2.966 eV per atom. Number 18: calculated total energy -2.415 eV per atom. Number 19: calculated total energy -2.324 eV per atom. Number 20: calculated total energy -2.667 eV per atom.